7
Lattice="4.766 0.000 0.000 0.000 4.766 0.000 -2.383 -2.383 8.957" Properties=species:S:1:pos:R:3 comment="PBE-GGA Pr4HPb2, relaxed" relative_energy_ev_per_fu=0.00 n_ef_per_ev_cell=7.69 vol_a3_per_fu=203 magmom_total_mub_per_atom=0.010 pbc="T T T"
Pb 0.000 0.000 6.479
Pb 2.383 2.383 2.478
H 0.000 0.000 0.000
Pr 2.383 2.383 5.763
Pr 0.000 2.383 0.000
Pr 0.000 0.000 3.194
Pr 2.383 0.000 0.000

5
Lattice="-1.882 -0.439 4.319 0.429 -4.703 -0.291 4.320 0.276 1.911" Properties=species:S:1:pos:R:3 comment="PBE-GGA HfBe3In, relaxed" relative_energy_ev_per_fu=2.33 n_ef_per_ev_cell=2.93 vol_a3_per_fu=106 ef_mev_per_atom=1563 magmom_total_mub_per_atom=0.000 pbc="T T T"
Be 2.160 0.138 0.955
Hf 0.000 0.000 0.000
In 1.433 -2.433 2.969
Be 0.215 -2.351 -0.145
Be -0.941 -0.220 2.159

10
Lattice="-4.287 2.237 0.212 -1.721 -2.975 -3.408 -3.748 -8.028 8.903" Properties=species:S:1:pos:R:3 comment="PBE-GGA Sr2Mg4InPb3, relaxed" n_ef_per_ev_cell=3.17 vol_a3_per_fu=294 ef_mev_per_atom=-303 magmom_total_mub_per_atom=0.000 pbc="T T T"
Sr -3.656 -7.477 4.938
Pb -1.874 -4.014 4.452
Mg -3.004 -0.369 -1.598
Mg 0.000 0.000 0.000
In -4.878 -4.383 2.854
Mg -2.227 -4.414 1.542
Pb -5.370 -5.793 7.770
Mg -4.525 -3.983 5.764
Pb -1.382 -2.605 -0.465
Sr -3.095 -0.921 2.367

5
Lattice="-0.360 4.473 1.797 -3.975 -2.373 -1.391 -0.617 -2.407 5.867" Properties=species:S:1:pos:R:3 comment="PBE-GGA HfZr2Sc2, relaxed" relative_energy_ev_per_fu=1.83 n_ef_per_ev_cell=7.20 vol_a3_per_fu=129 ef_mev_per_atom=406 magmom_total_mub_per_atom=0.000 pbc="T T T"
Zr -1.565 2.191 0.734
Hf -2.770 -0.091 -0.329
Sc -0.144 -0.562 1.370
Zr -3.078 -1.294 2.605
Sc -0.473 -1.845 4.497